DFT (GGA+U) results for a relaxed Mn2C2F crystal.

Computed properties:
Total DFT energy (no corrections) (eV per cell): -71.498
Polymorph energy (0 for the lowest one) (meV per atom): 0.0
Crystal system: tetragonal

Unit cell a=6.123 b=6.123 c=3.176 alpha=90.00 beta=90.00 gamma=90.00
Sites, in units of the cell vectors:
Mn 0.211 0.289 0.000
Mn 0.289 0.789 0.000
Mn 0.711 0.211 0.000
Mn 0.789 0.711 0.000
C 0.077 0.577 0.500
C 0.423 0.077 0.500
C 0.577 0.923 0.500
C 0.923 0.423 0.500
F 0.000 0.000 0.000
F 0.500 0.500 0.000